[1]
First-principles (PBE) data for a geometry-optimized GaHg2F6 structure, as listed in Alexandria via LeMat-Bulk.

Values from the calculation:
Calculated total energy, eV/cell: -124.11

Unit cell a=5.5387 b=18.0894 c=5.4353 alpha=90.00 beta=90.00 gamma=90.00
Space group Cmce (No. 64)
Asymmetric unit:
Ga (0.0000, 0.0000, 0.0000) x4
Hg (0.0000, 0.1734, 0.4538) x8
F (0.0000, 0.1007, 0.0846) x8
F (0.2500, 0.0215, 0.7500) x8
F (0.2500, 0.2273, 0.7500) x8

=====

[2]
First-principles (PBE) data for a geometry-optimized Ga12Hg3F5 structure, as listed in Alexandria via LeMat-Bulk.

Values from the calculation:
Calculated total energy, eV/cell: -454.02

Unit cell a=15.2473 b=15.2473 c=15.2473 alpha=90.00 beta=90.00 gamma=90.00
Space group Ia-3d (No. 230)
Asymmetric unit:
Ga (0.0376, 0.0633, 0.6451) x96
Hg (0.0000, 0.2500, 0.1250) x24
F (0.0000, 0.0000, 0.0000) x16
F (0.0000, 0.2500, 0.3750) x24

=====

[3]
First-principles (PBE) data for a geometry-optimized GaHgF structure, as listed in Alexandria via LeMat-Bulk.

Values from the calculation:
Calculated total energy, eV/cell: -32.53

Unit cell a=13.8058 b=3.3371 c=6.4253 alpha=90.00 beta=90.00 gamma=90.00
Space group Amm2 (No. 38)
Asymmetric unit:
Ga (0.1869, 0.0000, 0.0000) x4
Hg (0.0000, 0.0000, 0.2821) x2
Hg (0.5000, 0.0000, 0.3464) x2
F (0.2615, 0.0000, 0.6367) x4